Compound: PmZrGaCo
Source: Alexandria via LeMat-Bulk
Functional: PBE
Structure: optimized geometry

Cell lengths 6.8746, 6.8746, 6.8746 Å; angles 90.00, 90.00, 90.00 degrees
Space group F-43m (No. 216)
One atom of each set of equivalent atoms:
Pm (0.0000, 0.0000, 0.0000) x4
Zr (0.0000, 0.0000, 0.5000) x4
Ga (0.2500, 0.2500, 0.7500) x4
Co (0.2500, 0.2500, 0.2500) x4

Output
Its energy of formation from the pure elements is -175 meV/atom. For the density of states at the Fermi level, the calculation gives 4.40 states/eV/f.u. The total magnetization is 0.320 μB/atom.

***

Compound: Pr3GaCo
Source: Alexandria via LeMat-Bulk
Functional: PBE
Structure: optimized geometry

Cell lengths 10.5235, 6.5146, 8.6504 Å; angles 90.00, 115.18, 90.00 degrees
Space group C2/m (No. 12)
One atom of each set of equivalent atoms:
Pr (0.0170, 0.0000, 0.2235) x4
Pr (0.1859, 0.5000, 0.8634) x4
Pr (0.2053, 0.5000, 0.3345) x4
Ga (0.0000, 0.2977, 0.5000) x4
Co (0.0000, 0.3222, 0.0000) x4

Output
Its energy of formation from the pure elements is -224 meV/atom. For the density of states at the Fermi level, the calculation gives 5.47 states/eV/f.u. The total magnetization is 0.000 μB/atom.

***

Compound: Pr11Ga9Co4
Source: Alexandria via LeMat-Bulk
Functional: PBE
Structure: optimized geometry

Cell lengths 14.1886, 21.2094, 3.7595 Å; angles 90.00, 90.00, 90.00 degrees
Space group Cmmm (No. 65)
One atom of each set of equivalent atoms:
Pr (0.0000, 0.0000, 0.0000) x2
Pr (0.0000, 0.1700, 0.0000) x4
Pr (0.0000, 0.3761, 0.0000) x4
Pr (0.1881, 0.5000, 0.0000) x4
Pr (0.2434, 0.1706, 0.0000) x8
Ga (0.0000, 0.5000, 0.5000) x2
Ga (0.0994, 0.2719, 0.5000) x8
Ga (0.1543, 0.0677, 0.5000) x8
Co (0.1583, 0.3968, 0.5000) x8

Output
Its energy of formation from the pure elements is -415 meV/atom. For the density of states at the Fermi level, the calculation gives 19.93 states/eV/f.u. The total magnetization is 0.000 μB/atom.

***

Compound: PrGa6Co2
Source: Alexandria via LeMat-Bulk
Functional: PBE
Structure: optimized geometry

Cell lengths 4.8701, 4.8701, 8.9328 Å; angles 90.00, 90.00, 120.00 degrees
Space group P-31m (No. 162)
One atom of each set of equivalent atoms:
Pr (0.0000, 0.0000, 0.0000) x1
Ga (0.0000, 0.3366, 0.7044) x6
Co (0.3333, 0.6667, 0.5000) x2

Output
Its energy of formation from the pure elements is -13 meV/atom. For the density of states at the Fermi level, the calculation gives 5.66 states/eV/f.u. The total magnetization is 0.129 μB/atom.

***

Compound: PrGaCo
Source: Alexandria via LeMat-Bulk
Functional: PBE
Structure: optimized geometry

Cell lengths 4.2146, 4.2146, 13.9783 Å; angles 90.00, 90.00, 90.00 degrees
Space group I4/mmm (No. 139)
One atom of each set of equivalent atoms:
Pr (0.0000, 0.0000, 0.1503) x4
Ga (0.0000, 0.0000, 0.4030) x4
Co (0.0000, 0.5000, 0.0000) x4

Output
Its energy of formation from the pure elements is -372 meV/atom. For the density of states at the Fermi level, the calculation gives 1.47 states/eV/f.u. The total magnetization is 0.000 μB/atom.

***

Compound: PrGa4Co
Source: Alexandria via LeMat-Bulk
Functional: PBE
Structure: optimized geometry

Cell lengths 4.4860, 4.4860, 6.8306 Å; angles 90.00, 90.00, 90.00 degrees
Space group P4/mmm (No. 123)
One atom of each set of equivalent atoms:
Pr (0.0000, 0.0000, 0.0000) x1
Ga (0.0000, 0.5000, 0.5000) x2
Ga (0.5000, 0.5000, 0.1693) x2
Co (0.5000, 0.5000, 0.5000) x1

Output
Its energy of formation from the pure elements is -125 meV/atom. For the density of states at the Fermi level, the calculation gives 4.01 states/eV/f.u. The total magnetization is 0.000 μB/atom.

***

Compound: PrGaCo
Source: Alexandria via LeMat-Bulk
Functional: PBE
Structure: optimized geometry

Cell lengths 6.9815, 4.2445, 7.7863 Å; angles 90.00, 90.00, 90.00 degrees
Space group Pnma (No. 62)
One atom of each set of equivalent atoms:
Pr (0.0270, 0.2500, 0.1876) x4
Ga (0.1556, 0.2500, 0.5677) x4
Co (0.2133, 0.7500, 0.3888) x4

Output
Its energy of formation from the pure elements is -363 meV/atom. For the density of states at the Fermi level, the calculation gives 2.77 states/eV/f.u. The total magnetization is 0.000 μB/atom.

***

Compound: Pr3GaCo2
Source: Alexandria via LeMat-Bulk
Functional: PBE
Structure: optimized geometry

Cell lengths 8.4957, 8.0421, 10.7713 Å; angles 90.00, 128.24, 90.00 degrees
Space group P2_1/c (No. 14)
One atom of each set of equivalent atoms:
Pr (0.2195, 0.1823, 0.1727) x4
Pr (0.2199, 0.5241, 0.9644) x4
Pr (0.2494, 0.5310, 0.4127) x4
Ga (0.3609, 0.7034, 0.7510) x4
Co (0.0277, 0.7236, 0.6767) x4
Co (0.4407, 0.0045, 0.7713) x4

Output
Its energy of formation from the pure elements is -122 meV/atom. For the density of states at the Fermi level, the calculation gives 5.31 states/eV/f.u. The total magnetization is 0.000 μB/atom.

***

Compound: Pr7Ga2Co2
Source: Alexandria via LeMat-Bulk
Functional: PBE
Structure: optimized geometry

Cell lengths 7.9265, 11.3580, 7.0067 Å; angles 90.00, 90.00, 90.00 degrees
Space group Cmmm (No. 65)
One atom of each set of equivalent atoms:
Pr (0.0000, 0.0000, 0.0000) x2
Pr (0.0000, 0.5000, 0.2531) x4
Pr (0.2500, 0.2500, 0.2551) x8
Ga (0.1595, 0.0000, 0.5000) x4
Co (0.0000, 0.3004, 0.0000) x4

Output
Its energy of formation from the pure elements is -142 meV/atom. For the density of states at the Fermi level, the calculation gives 10.15 states/eV/f.u. The total magnetization is 0.000 μB/atom.

***

Compound: Pr8Ga2Co
Source: Alexandria via LeMat-Bulk
Functional: PBE
Structure: optimized geometry

Cell lengths 4.9164, 8.9960, 14.5605 Å; angles 90.00, 90.00, 90.00 degrees
Space group Immm (No. 71)
One atom of each set of equivalent atoms:
Pr (0.0000, 0.0000, 0.1226) x4
Pr (0.0000, 0.2221, 0.3409) x8
Pr (0.0000, 0.3338, 0.0000) x4
Ga (0.0000, 0.5000, 0.1994) x4
Co (0.0000, 0.5000, 0.5000) x2

Output
Its energy of formation from the pure elements is -74 meV/atom. For the density of states at the Fermi level, the calculation gives 12.90 states/eV/f.u. The total magnetization is 0.075 μB/atom.

***

Compound: Pr5GaCo2
Source: Alexandria via LeMat-Bulk
Functional: PBE
Structure: optimized geometry

Cell lengths 7.8302, 7.8302, 13.6748 Å; angles 90.00, 90.00, 90.00 degrees
Space group I4/mcm (No. 140)
One atom of each set of equivalent atoms:
Pr (0.0000, 0.0000, 0.0000) x4
Pr (0.1692, 0.3308, 0.1392) x16
Ga (0.0000, 0.0000, 0.2500) x4
Co (0.1085, 0.3915, 0.5000) x8

Output
Its energy of formation from the pure elements is -162 meV/atom. For the density of states at the Fermi level, the calculation gives 9.52 states/eV/f.u. The total magnetization is 0.000 μB/atom.

***

Compound: Pr3Ga9Co2
Source: Alexandria via LeMat-Bulk
Functional: PBE
Structure: optimized geometry

Cell lengths 4.2925, 9.6843, 12.5593 Å; angles 90.00, 90.00, 90.00 degrees
Space group Immm (No. 71)
One atom of each set of equivalent atoms:
Pr (0.0000, 0.0000, 0.0000) x2
Pr (0.0000, 0.0000, 0.3062) x4
Ga (0.0000, 0.2815, 0.1262) x8
Ga (0.0000, 0.3596, 0.3459) x8
Ga (0.0000, 0.5000, 0.0000) x2
Co (0.0000, 0.1914, 0.5000) x4

Output
Its energy of formation from the pure elements is -492 meV/atom. For the density of states at the Fermi level, the calculation gives 7.38 states/eV/f.u. The total magnetization is 0.006 μB/atom.